No. 1
! GGA-PBEsol K2InSbI6, optimized geometry; values from VASP
&SYSTEM
  ibrav = 0, nat = 10, ntyp = 4
/
ATOMIC_SPECIES
I 126.90 I.upf
K 39.10 K.upf
Sb 121.76 Sb.upf
In 114.82 In.upf
CELL_PARAMETERS angstrom
-6.302 4.789 -3.350
-0.949 0.499 -8.528
-6.714 -3.784 -3.805
ATOMIC_POSITIONS crystal
I 0.246 0.754 0.246
K 0.750 0.750 0.750
I 0.246 0.754 0.754
K 0.250 0.250 0.250
Sb 0.000 0.000 0.000
I 0.754 0.246 0.754
I 0.754 0.246 0.246
I 0.246 0.246 0.754
In 0.500 0.500 0.500
I 0.754 0.754 0.246
! - density of states at the Fermi level (states/eV per cell) = 0.1
! - raw formation energy (meV/atom) = -749
! - SG = Fm-3m

No. 2
! GGA-PBEsol K2ScInI6, optimized geometry; values from VASP
&SYSTEM
  ibrav = 0, nat = 10, ntyp = 4
/
ATOMIC_SPECIES
K 39.10 K.upf
I 126.90 I.upf
Sc 44.96 Sc.upf
In 114.82 In.upf
CELL_PARAMETERS angstrom
-6.847 -0.927 -5.020
-6.008 -5.736 1.988
-7.667 2.611 2.710
ATOMIC_POSITIONS crystal
K 0.250 0.250 0.250
I 0.236 0.764 0.236
Sc 0.000 0.000 0.000
I 0.764 0.236 0.764
I 0.236 0.236 0.764
I 0.236 0.764 0.764
In 0.500 0.500 0.500
I 0.764 0.236 0.236
K 0.750 0.750 0.750
I 0.764 0.764 0.236
! - density of states at the Fermi level (states/eV per cell) = 0.0
! - raw formation energy (meV/atom) = -1079
! - SG = Fm-3m

No. 3
! GGA-PBEsol LaInI2O, optimized geometry; values from VASP
&SYSTEM
  ibrav = 0, nat = 5, ntyp = 4
/
ATOMIC_SPECIES
O 16.00 O.upf
I 126.90 I.upf
In 114.82 In.upf
La 138.91 La.upf
CELL_PARAMETERS angstrom
-1.535 -3.188 2.456
-0.964 -3.595 -5.270
5.951 -2.428 0.568
ATOMIC_POSITIONS crystal
O 0.500 0.000 0.000
I 0.000 0.000 0.500
In 0.500 0.500 0.500
La 0.000 0.000 0.000
I 0.000 0.500 0.000
! - density of states at the Fermi level (states/eV per cell) = 0.9
! - raw formation energy (meV/atom) = -1445
! - SG = P4/mmm